*i*
Material: Cr2FeRh
Method: DFT, meta-GGA SCAN
State: PBEsol geometry

Unit cell a=2.5608 b=3.4941 c=5.1275 alpha=90.00 beta=90.00 gamma=90.00
Closest atoms and distances in Å follow each position.
Space group Pmmm (No. 47)
Inequivalent atoms, fractional coordinates:
Cr 0.0000 0.0000 0.2239 [2 per cell]  3 Cr 2.30-2.56, 4 Fe 2.45
Fe 0.5000 0.5000 0.0000 [1 per cell]  8 Cr 2.45, 2 Fe 2.56, 2 Rh 2.56
Rh 0.5000 0.5000 0.5000 [1 per cell]  2 Rh 2.56, 2 Fe 2.56, 8 Cr 2.59

Values from the calculation:
Calculated density = 9.5 Mg/m³
Crystal system = orthorhombic
V = 46 Å³/cell

---

*ii*
Material: Cr2FeRh
Method: DFT, meta-GGA SCAN
State: PBEsol geometry

Unit cell a=3.5754 b=3.5754 c=7.2098 alpha=90.00 beta=90.00 gamma=90.00
Closest atoms and distances in Å follow each position.
Space group I4/mmm (No. 139)
Inequivalent atoms, fractional coordinates:
Cr 0.0000 0.5000 0.2500 [4 per cell]  4 Cr 2.53, 4 Fe 2.54, 4 Rh 2.54
Fe 0.0000 0.0000 0.0000 [2 per cell]  4 Rh 2.53, 8 Cr 2.54
Rh 0.0000 0.0000 0.5000 [2 per cell]  4 Fe 2.53, 8 Cr 2.54

Values from the calculation:
Calculated density = 9.5 Mg/m³
Crystal system = tetragonal
V = 92 Å³/cell

---

Top of the stability list: *ii*, leading by 0.039 eV/atom.

---

*i*
Material: CrFeSb2
Method: DFT, meta-GGA SCAN
State: PBEsol geometry

Unit cell a=3.8953 b=3.8953 c=9.2897 alpha=90.00 beta=90.00 gamma=90.00
Closest atoms and distances in Å follow each position.
Space group I-4m2 (No. 119)
Inequivalent atoms, fractional coordinates:
Cr 0.0000 0.0000 0.0000 [2 per cell]  8 Sb 2.75-3.03, 4 Fe 3.03
Fe 0.0000 0.5000 0.2500 [2 per cell]  8 Sb 2.75-3.03, 4 Cr 3.03
Sb 0.0000 0.0000 0.5000 [2 per cell]  4 Cr 2.75, 4 Fe 3.03, 4 Sb 3.03
Sb 0.0000 0.5000 0.7500 [2 per cell]  4 Fe 2.75, 4 Cr 3.03, 4 Sb 3.03

Values from the calculation:
Calculated density = 8.3 Mg/m³
Crystal system = tetragonal
V = 141 Å³/cell

---

*ii*
Material: CrFeSb2
Method: DFT, meta-GGA SCAN
State: PBEsol geometry

Unit cell a=3.1685 b=3.1685 c=6.2293 alpha=90.00 beta=90.00 gamma=90.00
Closest atoms and distances in Å follow each position.
Space group P4/mmm (No. 123)
Inequivalent atoms, fractional coordinates:
Cr 0.0000 0.0000 0.0000 [1 per cell]  8 Sb 2.73
Fe 0.0000 0.0000 0.5000 [1 per cell]  8 Sb 2.73
Sb 0.5000 0.5000 0.2509 [2 per cell]  4 Fe 2.73, 4 Cr 2.73

Values from the calculation:
Calculated density = 9.3 Mg/m³
Crystal system = tetragonal
V = 63 Å³/cell

---

Top of the stability list: *i*, leading by 0.139 eV/atom.

---

*i*
Material: ScCrFe2
Method: DFT, meta-GGA SCAN
State: PBEsol geometry

Unit cell a=3.5625 b=3.5625 c=8.2494 alpha=90.00 beta=90.00 gamma=90.00
Closest atoms and distances in Å follow each position.
Space group I-4m2 (No. 119)
Inequivalent atoms, fractional coordinates:
Sc 0.0000 0.0000 0.0000 [2 per cell]  8 Fe 2.52-2.73, 4 Cr 2.73
Cr 0.0000 0.5000 0.2500 [2 per cell]  8 Fe 2.52-2.73, 4 Sc 2.73
Fe 0.0000 0.0000 0.5000 [2 per cell]  4 Sc 2.52, 4 Cr 2.73, 4 Fe 2.73
Fe 0.0000 0.5000 0.7500 [2 per cell]  4 Cr 2.52, 4 Fe 2.73, 4 Sc 2.73

Values from the calculation:
Calculated density = 6.6 Mg/m³
Crystal system = tetragonal
V = 105 Å³/cell

---

*ii*
Material: ScCrFe2
Method: DFT, meta-GGA SCAN
State: PBEsol geometry

Unit cell a=3.6687 b=3.6687 c=3.9202 alpha=90.00 beta=90.00 gamma=90.00
Closest atoms and distances in Å follow each position.
Space group P4/mmm (No. 123)
Inequivalent atoms, fractional coordinates:
Sc 0.0000 0.0000 0.0000 [1 per cell]  4 Cr 2.59, 8 Fe 2.68
Cr 0.5000 0.5000 0.0000 [1 per cell]  4 Sc 2.59, 8 Fe 2.68
Fe 0.0000 0.5000 0.5000 [2 per cell]  4 Fe 2.59, 4 Cr 2.68, 4 Sc 2.68

Values from the calculation:
Calculated density = 6.6 Mg/m³
Crystal system = tetragonal
V = 53 Å³/cell

---

*iii*
Material: ScCrFe2
Method: DFT, meta-GGA SCAN
State: PBEsol geometry

Unit cell a=5.8043 b=5.8043 c=5.8043 alpha=90.00 beta=90.00 gamma=90.00
Closest atoms and distances in Å follow each position.
Space group Fm-3m (No. 225)
Inequivalent atoms, fractional coordinates:
Sc 0.0000 0.0000 0.0000 [4 per cell]  8 Fe 2.51
Cr 0.0000 0.0000 0.5000 [4 per cell]  8 Fe 2.51
Fe 0.2500 0.2500 0.2500 [8 per cell]  4 Cr 2.51, 4 Sc 2.51

Values from the calculation:
Calculated density = 7.1 Mg/m³
Crystal system = cubic
V = 196 Å³/cell

---

Top of the stability list: *i*, leading by 0.006 eV/atom.

---

*i*
Material: Cr2FeSe
Method: DFT, meta-GGA SCAN
State: PBEsol geometry

Unit cell a=2.9272 b=2.9272 c=5.5761 alpha=90.00 beta=90.00 gamma=90.00
Closest atoms and distances in Å follow each position.
Space group P4mm (No. 99)
Inequivalent atoms, fractional coordinates:
Cr 0.0000 0.0000 0.0000 [1 per cell]  4 Se 2.45, 4 Cr 2.55, 1 Fe 2.65
Cr 0.5000 0.5000 0.2684 [1 per cell]  4 Fe 2.37, 4 Cr 2.55
Fe 0.0000 0.0000 0.4752 [1 per cell]  5 Cr 2.37-2.65, 4 Se 2.63
Se 0.5000 0.5000 0.7652 [1 per cell]  4 Cr 2.45, 4 Fe 2.63

Values from the calculation:
Calculated density = 8.3 Mg/m³
Crystal system = tetragonal
V = 48 Å³/cell

---

*ii*
Material: Cr2FeSe
Method: DFT, meta-GGA SCAN
State: PBEsol geometry

Unit cell a=8.2843 b=2.8397 c=4.2186 alpha=90.00 beta=105.68 gamma=90.00
Closest atoms and distances in Å follow each position.
Space group Cm (No. 8)
Inequivalent atoms, fractional coordinates:
Cr 0.0000 0.0000 0.0000 [2 per cell]  3 Se 2.38-2.39, 4 Fe 2.54-2.55
Cr 0.2217 0.0000 0.6196 [2 per cell]  3 Fe 2.34-2.40, 4 Se 2.50-2.59
Fe 0.4878 0.0000 0.4945 [2 per cell]  7 Cr 2.34-2.55, 2 Se 2.61
Se 0.2395 0.5000 0.1417 [2 per cell]  7 Cr 2.38-2.59, 2 Fe 2.61

Values from the calculation:
Calculated density = 8.3 Mg/m³
Crystal system = monoclinic
V = 96 Å³/cell

---

*iii*
Material: Cr2FeSe
Method: DFT, meta-GGA SCAN
State: PBEsol geometry

Unit cell a=4.0715 b=4.0715 c=2.8511 alpha=90.00 beta=90.00 gamma=90.00
Closest atoms and distances in Å follow each position.
Space group P4/mmm (No. 123)
Inequivalent atoms, fractional coordinates:
Cr 0.0000 0.5000 0.0000 [2 per cell]  4 Se 2.49, 4 Fe 2.49
Fe 0.0000 0.0000 0.5000 [1 per cell]  8 Cr 2.49
Se 0.5000 0.5000 0.5000 [1 per cell]  8 Cr 2.49

Values from the calculation:
Calculated density = 8.4 Mg/m³
Crystal system = tetragonal
V = 47 Å³/cell

---

Top of the stability list: *ii*, leading by 0.015 eV/atom.

---

*i*
Material: Cr3GaMo
Method: DFT, meta-GGA SCAN
State: PBEsol geometry

Unit cell a=4.5407 b=4.5407 c=4.5407 alpha=90.00 beta=90.00 gamma=90.00
Closest atoms and distances in Å follow each position.
Space group Pm-3m (No. 221)
Inequivalent atoms, fractional coordinates:
Cr 0.0000 0.0000 0.5000 [3 per cell]  2 Mo 2.27
Ga 0.5000 0.5000 0.5000 [1 per cell]  12 Cr 3.21
Mo 0.0000 0.0000 0.0000 [1 per cell]  6 Cr 2.27

Values from the calculation:
Calculated density = 5.7 Mg/m³
Crystal system = cubic
V = 94 Å³/cell

---

*ii*
Material: Cr3GaMo
Method: DFT, meta-GGA SCAN
State: PBEsol geometry

Unit cell a=4.3307 b=4.3307 c=4.3307 alpha=90.00 beta=90.00 gamma=90.00
Closest atoms and distances in Å follow each position.
Space group Pm-3m (No. 221)
Inequivalent atoms, fractional coordinates:
Cr 0.0000 0.0000 0.5000 [3 per cell]  2 Ga 2.17
Ga 0.0000 0.0000 0.0000 [1 per cell]  6 Cr 2.17
Mo 0.5000 0.5000 0.5000 [1 per cell]  12 Cr 3.06

Values from the calculation:
Calculated density = 6.6 Mg/m³
Crystal system = cubic
V = 81 Å³/cell

---

Top of the stability list: *i*, leading by 0.006 eV/atom.

---

*i*
Material: NaCrH3
Method: DFT, meta-GGA SCAN
State: PBEsol geometry

Unit cell a=3.5795 b=3.5795 c=3.5795 alpha=90.00 beta=90.00 gamma=90.00
Closest atoms and distances in Å follow each position.
Space group Pm-3m (No. 221)
Inequivalent atoms, fractional coordinates:
Na 0.0000 0.0000 0.0000 [1 per cell]  12 H 2.53
Cr 0.5000 0.5000 0.5000 [1 per cell]  6 H 1.79
H 0.0000 0.5000 0.5000 [3 per cell]  2 Cr 1.79

Values from the calculation:
Calculated density = 2.8 Mg/m³
Crystal system = cubic
V = 46 Å³/cell

---

*ii*
Material: NaCrH3
Method: DFT, meta-GGA SCAN
State: PBEsol geometry

Unit cell a=3.6714 b=3.6714 c=3.6714 alpha=90.00 beta=90.00 gamma=90.00
Closest atoms and distances in Å follow each position.
Space group Pm-3m (No. 221)
Inequivalent atoms, fractional coordinates:
Na 0.0000 0.0000 0.0000 [1 per cell]  6 H 1.84
Cr 0.5000 0.5000 0.5000 [1 per cell]  12 H 2.60
H 0.0000 0.0000 0.5000 [3 per cell]  2 Na 1.84

Values from the calculation:
Calculated density = 2.6 Mg/m³
Crystal system = cubic
V = 49 Å³/cell

---

Top of the stability list: *i*, leading by 0.862 eV/atom.

---

*i*
Material: HfCr3Si
Method: DFT, meta-GGA SCAN
State: PBEsol geometry

Unit cell a=4.5877 b=4.5877 c=4.5877 alpha=90.00 beta=90.00 gamma=90.00
Closest atoms and distances in Å follow each position.
Space group Pm-3m (No. 221)
Inequivalent atoms, fractional coordinates:
Hf 0.0000 0.0000 0.0000 [1 per cell]  6 Cr 2.29
Cr 0.0000 0.0000 0.5000 [3 per cell]  2 Hf 2.29
Si 0.5000 0.5000 0.5000 [1 per cell]  12 Cr 3.24

Values from the calculation:
Calculated density = 6.2 Mg/m³
Crystal system = cubic
V = 97 Å³/cell

---

*ii*
Material: HfCr3Si
Method: DFT, meta-GGA SCAN
State: PBEsol geometry

Unit cell a=4.2851 b=4.2851 c=4.2851 alpha=90.00 beta=90.00 gamma=90.00
Closest atoms and distances in Å follow each position.
Space group Pm-3m (No. 221)
Inequivalent atoms, fractional coordinates:
Hf 0.0000 0.0000 0.0000 [1 per cell]  12 Cr 3.03
Cr 0.0000 0.5000 0.5000 [3 per cell]  2 Si 2.14
Si 0.5000 0.5000 0.5000 [1 per cell]  6 Cr 2.14

Values from the calculation:
Calculated density = 7.7 Mg/m³
Crystal system = cubic
V = 79 Å³/cell

---

Top of the stability list: *ii*, leading by 1.243 eV/atom.